Compound: SrIn2Pb2
Source: Alexandria via LeMat-Bulk
Functional: GGA-PBE
Structure: optimized geometry

As for the total energy: -30.639 eV/cell. As for the formation energy: -0.149 eV/atom.

The space group is P4/mbm (No. 127) and the conventional cell measures 9.0034, 9.0034 and 3.9225 Å, with angles of 90.00, 90.00 and 90.00 degrees. The inequivalent atoms are Sr at (0.0000, 0.0000, 0.0000), In at (0.1609, 0.3391, 0.5000) and Pb at (0.1334, 0.6334, 0.0000).